(w)
12
Lattice="-5.529 -1.272 2.843 0.377 -4.176 -4.093 1.316 -1.983 6.022" Properties=species:S:1:pos:R:3 comment="AlGaAg4, optimized geometry, DFT PBE" sg="P-1 (2)" crystal_system=triclinic pbc="T T T"
Al -3.201 -5.123 5.653
Al -0.636 -2.308 -0.880
Ga -0.145 -2.275 3.130
Ga -3.691 -5.155 1.643
Ag -3.999 -3.117 3.739
Ag -2.250 -2.669 1.376
Ag -3.450 -3.173 7.636
Ag -1.646 -2.674 5.411
Ag 0.163 -4.314 1.034
Ag -1.586 -4.762 3.397
Ag -0.386 -4.258 -2.864
Ag -2.190 -4.756 -0.639


(x)
12
Lattice="5.226 -0.605 0.000 -2.086 7.174 0.000 -1.570 -3.284 5.923" Properties=species:S:1:pos:R:3 comment="AlGaAg4, optimized geometry, DFT PBE" sg="C2/c (15)" crystal_system=monoclinic pbc="T T T"
Al 1.307 -0.151 0.003
Al 0.264 3.436 5.920
Ga 0.264 3.436 1.222
Ga 1.307 -0.151 4.701
Ag -1.294 -1.253 4.654
Ag 1.504 2.637 3.635
Ag -1.319 1.555 4.654
Ag -0.976 4.234 3.635
Ag 2.546 -0.950 2.287
Ag 2.890 1.729 1.268
Ag 0.067 0.647 2.287
Ag 2.864 4.537 1.268


Which of them is the most stable, and which is the least stable? (w) and (x), in that order.


(w)
7
Lattice="4.101 -0.146 0.059 -2.212 4.578 -0.005 0.113 -0.725 6.611" Properties=species:S:1:pos:R:3 comment="Al3Ga2Ag2, optimized geometry, DFT PBE" sg="P-1 (2)" crystal_system=triclinic pbc="T T T"
Al 0.000 0.000 0.000
Al 1.973 1.778 0.975
Al 0.028 1.928 5.691
Ga 2.012 2.706 3.847
Ga -0.010 1.000 2.819
Ag 2.142 0.023 4.833
Ag -0.140 3.684 1.832


(x)
7
Lattice="-1.867 -2.250 -0.140 -0.434 -0.178 8.601 -4.153 3.380 1.074" Properties=species:S:1:pos:R:3 comment="Al3Ga2Ag2, optimized geometry, DFT PBE" sg="P2/m (10)" crystal_system=monoclinic pbc="T T T"
Al 0.000 0.000 0.000
Al -2.148 -0.412 4.653
Al -4.305 1.364 4.882
Ga -2.632 2.009 2.796
Ga -3.821 -1.057 6.738
Ag -1.811 -0.522 1.951
Ag -4.643 1.474 7.583


Which of them is the most stable, and which is the least stable? (w) and (x), in that order.